(1)
! PBE Nd2BiTe, relaxed; values from VASP
! Energy relative to the elements, uncorrected ... -995.7 meV per atom
! Electronic total energy ... -20.5 eV/f.u.
! Energy above the most stable polymorph in this dataset ... 0.217 eV per atom
&SYSTEM
  ibrav = 0, nat = 16, ntyp = 3
/
ATOMIC_SPECIES
Nd 144.24 Nd.upf
Bi 208.98 Bi.upf
Te 127.60 Te.upf
CELL_PARAMETERS angstrom
7.880 0.000 0.000
0.000 7.880 0.000
0.000 0.000 7.880
ATOMIC_POSITIONS angstrom
Nd 1.970 1.970 1.970
Nd 1.970 1.970 5.910
Nd 1.970 5.910 1.970
Nd 1.970 5.910 5.910
Nd 5.910 1.970 1.970
Nd 5.910 1.970 5.910
Nd 5.910 5.910 1.970
Nd 5.910 5.910 5.910
Bi 0.000 0.000 0.000
Bi 0.000 3.940 3.940
Bi 3.940 0.000 3.940
Bi 3.940 3.940 0.000
Te 0.000 0.000 3.940
Te 0.000 3.940 0.000
Te 3.940 0.000 0.000
Te 3.940 3.940 3.940

---

(2)
! PBE LaMgIn2, relaxed; values from VASP
! Electronic total energy ... -13.6 eV/f.u.
! DFT formation energy ... -1.64 eV per formula unit
&SYSTEM
  ibrav = 0, nat = 4, ntyp = 3
/
ATOMIC_SPECIES
La 138.91 La.upf
Mg 24.30 Mg.upf
In 114.82 In.upf
CELL_PARAMETERS angstrom
4.790 0.000 0.000
0.000 4.790 0.000
0.000 0.000 4.700
ATOMIC_POSITIONS angstrom
La 0.000 0.000 0.000
Mg 2.395 2.395 0.000
In 0.000 2.395 2.350
In 2.395 0.000 2.350

---

(3)
! PBE Cr2FeAg, relaxed; values from VASP
! Electronic total energy ... -26.7 eV/f.u.
! DFT formation energy ... 3.82 eV per formula unit
! Energy above the most stable polymorph in this dataset ... 0.615 eV per atom
&SYSTEM
  ibrav = 0, nat = 16, ntyp = 3
/
ATOMIC_SPECIES
Cr 52.00 Cr.upf
Fe 55.84 Fe.upf
Ag 107.87 Ag.upf
CELL_PARAMETERS angstrom
3.572 0.000 0.000
0.000 3.572 0.000
0.000 0.000 17.993
ATOMIC_POSITIONS angstrom
Cr 0.682 0.893 2.249
Cr 0.893 2.468 6.748
Cr 0.893 2.891 15.744
Cr 1.104 0.893 11.246
Cr 2.468 2.679 11.246
Cr 2.679 0.682 15.744
Cr 2.679 1.104 6.748
Cr 2.891 2.679 2.249
Fe 0.000 0.000 0.000
Fe 0.000 1.786 4.498
Fe 1.786 0.000 13.495
Fe 1.786 1.786 8.997
Ag 0.000 0.000 8.997
Ag 0.000 1.786 13.495
Ag 1.786 0.000 4.498
Ag 1.786 1.786 0.000

---

(4)
! PBE PrSmInPb, relaxed; values from VASP
! Electronic total energy ... -17.8 eV/f.u.
! DFT formation energy ... -1.83 eV per formula unit
! Energy above the most stable polymorph in this dataset ... 0.066 eV per atom
&SYSTEM
  ibrav = 0, nat = 16, ntyp = 4
/
ATOMIC_SPECIES
Pr 140.91 Pr.upf
Sm 150.36 Sm.upf
In 114.82 In.upf
Pb 207.20 Pb.upf
CELL_PARAMETERS angstrom
7.817 0.000 0.000
0.000 7.817 0.000
0.000 0.000 7.817
ATOMIC_POSITIONS angstrom
Pr 0.000 0.000 0.000
Pr 0.000 3.909 3.909
Pr 3.909 0.000 3.909
Pr 3.909 3.909 0.000
Sm 0.000 0.000 3.909
Sm 0.000 3.909 0.000
Sm 3.909 0.000 0.000
Sm 3.909 3.909 3.909
In 1.954 1.954 5.863
In 1.954 5.863 1.954
In 5.863 1.954 1.954
In 5.863 5.863 5.863
Pb 1.954 1.954 1.954
Pb 1.954 5.863 5.863
Pb 5.863 1.954 5.863
Pb 5.863 5.863 1.954